1.
GeTeSe | PBE | relaxed

Computed properties:
DOS at the Fermi energy: 0.85 states/eV/cell
Formation energy without anion corrections: -0.08 eV/atom
E above lowest polymorph: 0.0249 eV/atom
Total DFT energy (no corrections): -11.5 eV for the cell shown

Unit cell a=3.699 b=4.025 c=6.006 alpha=90.00 beta=90.11 gamma=90.00
Sites, in units of the cell vectors:
1 Ge 0.488 0.000 0.186
2 Se 0.988 0.000 0.449
3 Te 0.485 0.500 0.893

***

2.
LiCaCeBr6 | PBE | relaxed

Computed properties:
DOS at the Fermi energy: 16.45 states/eV/cell
Formation energy without anion corrections: -1.79 eV/atom
Total DFT energy (no corrections): -72.0 eV for the cell shown

Unit cell a=7.157 b=7.157 c=13.097 alpha=90.00 beta=90.00 gamma=120.00
Sites, in units of the cell vectors:
1 Br 0.653 0.986 0.373
2 Br 0.333 0.986 0.127
3 Br 0.333 0.347 0.373
4 Br 0.986 0.653 0.873
5 Br 0.347 0.333 0.873
6 Br 0.667 0.653 0.627
7 Br 0.986 0.333 0.627
8 Br 0.347 0.014 0.627
9 Br 0.014 0.667 0.373
10 Br 0.653 0.667 0.127
11 Br 0.667 0.014 0.873
12 Br 0.014 0.347 0.127
13 Ce 0.333 0.667 0.750
14 Ce 0.667 0.333 0.250
15 Ca 0.000 0.000 0.000
16 Ca 0.000 0.000 0.500
17 Li 0.667 0.333 0.750
18 Li 0.333 0.667 0.250

***

3.
Y8Ho6In | PBE | relaxed

Computed properties:
Formation energy: 0.085 eV/atom
DOS at the Fermi energy: 19.43 states/eV/cell
Total DFT energy (no corrections): -80.6 eV for the cell shown

Unit cell a=6.299 b=9.373 c=9.373 alpha=120.00 beta=90.00 gamma=90.00
Sites, in units of the cell vectors:
1 Y 0.189 0.267 0.228
2 Y 0.189 0.961 0.733
3 Y 0.811 0.039 0.267
4 Y 0.189 0.772 0.039
5 Y 0.817 0.333 0.667
6 Y 0.811 0.733 0.772
7 Y 0.183 0.667 0.333
8 Y 0.811 0.228 0.961
9 Ho 0.318 0.094 0.455
10 Ho 0.318 0.545 0.639
11 Ho 0.682 0.639 0.094
12 Ho 0.682 0.455 0.361
13 Ho 0.682 0.906 0.545
14 Ho 0.318 0.361 0.906
15 In 0.500 0.000 0.000

***

Spin magnetization for every record listed, in sequence, given in μB/cell: 0.00; 2.00; 0.00.